NaH2S2O4 at its PBEsol-relaxed geometry, computed with meta-GGA SCAN.

Lattice parameters (Å, degrees): 8.0275 8.0275 5.3273 104.12 104.12 46.43
Last column: nearest neighbours and their distance in Å.
Sites, in units of the cell vectors:
Na 0.2282 0.2282 0.4775  6 O 2.33-2.47
Na 0.7718 0.7718 0.5225  6 O 2.33-2.47
H 0.2477 0.5556 0.4483  1 O 0.99
H 0.2617 0.5563 0.7521  1 O 0.98
H 0.4437 0.7383 0.2479  1 O 0.98
H 0.4444 0.7523 0.5517  1 O 0.99
S 0.5473 0.1899 0.0874  3 O 1.46-1.47
S 0.8101 0.4527 0.9126  3 O 1.46-1.47
S 0.8899 0.0654 0.1620  2 S 2.00-2.14
S 0.9346 0.1101 0.8380  2 S 2.00-2.14
O 0.1640 0.5848 0.5852  2 H 0.98-0.99
O 0.3791 0.4439 0.1201  1 S 1.47
O 0.4152 0.8360 0.4148  2 H 0.98-0.99
O 0.5289 0.0926 0.8232  1 S 1.46
O 0.5544 0.0906 0.2908  1 S 1.46
O 0.5561 0.6209 0.8799  1 S 1.47
O 0.9074 0.4711 0.1768  1 S 1.46
O 0.9094 0.4456 0.7092  1 S 1.46

Output
SG   No. 5
Final energy   -7.48 eV/atom